Entry 1:
Ho8GeTe3S3: optimized geometry, PBE.

Output
The calculation puts the magnetization at 0.00 μB/f.u. Its energy relative to the elements, uncorrected is -1.424 eV per atom. As for the space group: No. 166. For the electronic total energy, the calculation gives -0.41356 Ry/atom.

Geometry as extended XYZ:
```
15
Lattice="4.035 2.330 6.916 -4.035 2.330 6.916 0.000 -4.659 6.916" Properties=species:S:1:pos:R:3 pbc="T T T"
Ho -2.074 -1.197 11.875
Ho 0.000 0.000 4.854
Ho 0.000 -2.395 8.874
Ho -2.074 1.197 8.874
Ho 2.074 -1.197 11.875
Ho 0.000 2.395 11.875
Ho 0.000 0.000 15.895
Ho 2.074 1.197 8.874
Ge 0.000 0.000 10.374
Te -2.017 -1.165 6.916
Te -2.017 1.165 13.833
Te 0.000 2.330 6.916
S -4.035 0.000 10.374
S -2.017 1.165 3.458
S 2.017 1.165 3.458
```


Entry 2:
Ho4GeTeS2: optimized geometry, PBE.

Output
The calculation puts the magnetization at 0.00 μB/f.u. Its energy relative to the elements, uncorrected is -1.544 eV per atom. As for the space group: No. 10. For the electronic total energy, the calculation gives -0.42884 Ry/atom.

Geometry as extended XYZ:
```
8
Lattice="6.994 0.000 0.000 0.000 4.061 0.000 -2.369 0.000 6.745" Properties=species:S:1:pos:R:3 pbc="T T T"
Ho 1.069 0.000 1.489
Ho -0.109 2.031 5.153
Ho 4.734 2.031 1.591
Ho 3.555 0.000 5.256
Ge 3.497 0.000 0.000
Te 2.312 2.031 3.372
S -1.185 0.000 3.372
S 0.000 2.031 0.000
```


Entry 3:
Ho6Ge2Te3S: optimized geometry, PBE.

Output
The calculation puts the magnetization at 0.00 μB/f.u. Its energy relative to the elements, uncorrected is -1.346 eV per atom. As for the space group: No. 12. For the electronic total energy, the calculation gives -0.40671 Ry/atom.

Geometry as extended XYZ:
```
12
Lattice="9.245 -2.086 0.000 9.245 2.086 0.000 -2.222 0.000 8.207" Properties=species:S:1:pos:R:3 pbc="T T T"
Ho -0.355 0.000 1.888
Ho 5.076 0.000 3.579
Ho 4.296 0.000 7.385
Ho 11.972 0.000 0.823
Ho 11.193 0.000 4.628
Ho 16.623 0.000 6.320
Ge 2.334 0.000 2.703
Ge 13.934 0.000 5.505
Te 1.206 0.000 6.836
Te 8.134 0.000 4.104
Te 15.063 0.000 1.371
S 9.245 0.000 0.000
```


Entry 4:
Ho6Ge3TeS2: optimized geometry, PBE.

Output
The calculation puts the magnetization at 0.00 μB/f.u. Its energy relative to the elements, uncorrected is -1.325 eV per atom. As for the space group: No. 12. For the electronic total energy, the calculation gives -0.42029 Ry/atom.

Geometry as extended XYZ:
```
12
Lattice="8.947 -2.052 0.000 8.947 2.052 0.000 -1.929 0.000 8.028" Properties=species:S:1:pos:R:3 pbc="T T T"
Ho -0.482 0.000 2.171
Ho 4.047 0.000 7.346
Ho 5.162 0.000 3.324
Ho 10.803 0.000 4.705
Ho 11.918 0.000 0.682
Ho 16.447 0.000 5.857
Ge 1.328 0.000 6.667
Ge 7.982 0.000 4.014
Ge 14.637 0.000 1.361
Te 8.947 0.000 0.000
S 2.372 0.000 2.701
S 13.592 0.000 5.328
```


Entry 5:
Ho3GeTeS: optimized geometry, PBE.

Output
The calculation puts the magnetization at 0.00 μB/f.u. Its energy relative to the elements, uncorrected is -1.145 eV per atom. As for the space group: No. 11. For the electronic total energy, the calculation gives -0.39800 Ry/atom.

Geometry as extended XYZ:
```
12
Lattice="8.394 0.000 0.000 0.000 4.327 0.000 -1.529 0.000 9.400" Properties=species:S:1:pos:R:3 pbc="T T T"
Ho 0.091 1.082 3.331
Ho 0.726 1.082 9.078
Ho 2.212 3.246 5.980
Ho 4.653 1.082 3.420
Ho 6.139 3.246 0.322
Ho 6.774 3.246 6.068
Ge 0.300 1.082 6.165
Ge 6.565 3.246 3.235
Te 2.326 3.246 2.815
Te 4.539 1.082 6.585
S 2.056 3.246 8.550
S 4.810 1.082 0.850
```


Entry 6:
HoTlGeS4: optimized geometry, PBE.

Output
The calculation puts the magnetization at 0.00 μB/f.u. Its energy relative to the elements, uncorrected is -0.991 eV per atom. As for the space group: No. 11. For the electronic total energy, the calculation gives -0.36758 Ry/atom.

Geometry as extended XYZ:
```
14
Lattice="6.491 0.000 0.000 0.000 6.676 0.000 -2.558 0.000 8.383" Properties=species:S:1:pos:R:3 pbc="T T T"
Ho 1.324 1.669 0.438
Ho 2.608 5.007 7.945
Tl 0.242 1.669 4.768
Tl 3.690 5.007 3.615
Ge -0.622 5.007 6.950
Ge 4.554 1.669 1.433
S -0.521 3.378 1.722
S -0.521 6.637 1.722
S 1.122 5.007 5.608
S 2.652 5.007 0.669
S 1.280 1.669 7.714
S 2.810 1.669 2.775
S 4.453 0.039 6.662
S 4.453 3.299 6.662
```


Entry 7:
Ho6TlGe2S3: optimized geometry, PBE.

Output
The calculation puts the magnetization at 0.00 μB/f.u. Its energy relative to the elements, uncorrected is -1.308 eV per atom. As for the space group: No. 12. For the electronic total energy, the calculation gives -0.41127 Ry/atom.

Geometry as extended XYZ:
```
12
Lattice="9.005 -2.016 0.000 9.005 2.016 0.000 -2.586 0.000 7.808" Properties=species:S:1:pos:R:3 pbc="T T T"
Ho -0.461 0.000 1.768
Ho 4.766 0.000 3.292
Ho 3.559 0.000 7.245
Ho 11.864 0.000 0.563
Ho 10.657 0.000 4.516
Ho 15.884 0.000 6.040
Tl 7.712 0.000 3.904
Ge 0.778 0.000 6.376
Ge 14.645 0.000 1.432
S 2.188 0.000 2.533
S 9.005 0.000 0.000
S 13.236 0.000 5.275
```


Entry 8:
Ho2Tl3GeS6: optimized geometry, PBE.

Output
The calculation puts the magnetization at 0.00 μB/f.u. Its energy relative to the elements, uncorrected is -1.044 eV per atom. As for the space group: No. 12. For the electronic total energy, the calculation gives -0.35621 Ry/atom.

Geometry as extended XYZ:
```
12
Lattice="9.396 -1.964 0.000 9.396 1.964 0.000 -3.120 0.000 8.182" Properties=species:S:1:pos:R:3 pbc="T T T"
Ho 2.045 0.000 2.743
Ho 13.628 0.000 5.440
Tl 0.523 0.000 6.913
Tl 7.836 0.000 4.091
Tl 15.150 0.000 1.269
Ge 9.396 0.000 0.000
S -0.520 0.000 1.719
S 4.661 0.000 3.595
S 3.847 0.000 7.289
S 11.825 0.000 0.893
S 11.011 0.000 4.587
S 16.192 0.000 6.463
```